This record from the Alexandria database describes an optimized crystal structure of ZrAl2Ni. The functional is GGA-PBE.

The structure in extended XYZ format:
```
8
Lattice="4.117 0.000 0.000 0.000 2.994 0.000 0.000 0.000 10.602" Properties=species:S:1:pos:R:3 pbc="T T T"
Zr 0.000 0.000 0.000
Zr 0.000 1.497 5.301
Al 0.000 0.000 2.812
Al 0.000 1.497 8.113
Al 2.059 0.000 7.015
Al 2.059 1.497 1.714
Ni 2.059 0.000 4.078
Ni 2.059 1.497 9.379
```

calculated formation energy	-0.340	eV per atom
crystal system	orthorhombic
SG	No. 38
ρ	5.2	g cm⁻³
DFT total energy	-5.794	eV per atom